The following is a GGA-PBE calculation of TbCeSi3 after structural relaxation, from the Alexandria database.

a b c (Å): 3.962 4.236 12.469
angles (deg): 99.78 90.00 90.00
Fractional positions:
Tb 0.750 0.202 0.405
Tb 0.250 0.798 0.595
Si 0.250 0.475 0.951
Si 0.750 0.619 0.238
Si 0.250 0.677 0.354
Si 0.250 0.381 0.762
Si 0.750 0.525 0.049
Si 0.750 0.323 0.646
Ce 0.250 0.070 0.141
Ce 0.750 0.930 0.859

Summary:
The value obtained for the uncorrected formation energy is -0.7292 eV/atom.

***

The following is a GGA-PBE calculation of Tb3CeSi4 after structural relaxation, from the Alexandria database.

a b c (Å): 4.009 6.351 8.632
angles (deg): 111.58 103.43 90.00
Last column: magnetic moment on the atom in μB.
Fractional positions:
Tb 0.000 0.500 0.000  0.01
Tb 0.807 0.807 0.614  0.00
Tb 0.193 0.193 0.386  0.00
Si 0.368 0.552 0.737  0.00
Si 0.368 0.184 0.737  0.00
Si 0.632 0.448 0.263  0.00
Si 0.632 0.816 0.263  0.00
Ce 0.500 0.000 0.000  0.43

Summary:
The value obtained for the uncorrected formation energy is -0.4965 eV/atom.

***

The following is a GGA-PBE calculation of TbCe3Si2 after structural relaxation, from the Alexandria database.

a b c (Å): 4.104 8.930 8.696
angles (deg): 114.77 90.00 103.28
Fractional positions:
Tb 0.891 0.781 0.970
Tb 0.109 0.219 0.030
Ce 0.282 0.564 0.606
Ce 0.931 0.862 0.565
Ce 0.377 0.753 0.317
Ce 0.069 0.138 0.435
Ce 0.718 0.436 0.394
Ce 0.623 0.247 0.683
Si 0.523 0.046 0.160
Si 0.477 0.954 0.840
Si 0.747 0.494 0.080
Si 0.253 0.506 0.920

Summary:
The value obtained for the uncorrected formation energy is -0.4531 eV/atom.

***

The following is a GGA-PBE calculation of TbCe3Si4 after structural relaxation, from the Alexandria database.

a b c (Å): 4.034 6.355 8.738
angles (deg): 111.32 103.35 90.00
Last column: magnetic moment on the atom in μB.
Fractional positions:
Tb 0.500 0.000 0.000  0.04
Si 0.630 0.444 0.261  0.00
Si 0.370 0.556 0.739  0.00
Si 0.630 0.816 0.261  0.00
Si 0.370 0.184 0.739  0.00
Ce 0.000 0.500 0.000  -0.25
Ce 0.195 0.195 0.390  0.47
Ce 0.805 0.805 0.610  0.47

Summary:
The value obtained for the uncorrected formation energy is -0.5035 eV/atom.

***

What did the third record say?
The following is a GGA-PBE calculation of TbCe3Si2 after structural relaxation, from the Alexandria database.

a b c (Å): 4.104 8.930 8.696
angles (deg): 114.77 90.00 103.28
Fractional positions:
Tb 0.891 0.781 0.970
Tb 0.109 0.219 0.030
Ce 0.282 0.564 0.606
Ce 0.931 0.862 0.565
Ce 0.377 0.753 0.317
Ce 0.069 0.138 0.435
Ce 0.718 0.436 0.394
Ce 0.623 0.247 0.683
Si 0.523 0.046 0.160
Si 0.477 0.954 0.840
Si 0.747 0.494 0.080
Si 0.253 0.506 0.920

Summary:
The value obtained for the uncorrected formation energy is -0.4531 eV/atom.

***

Which formula does entry 2 have? Tb3CeSi4

***

Copy entry 2 word for word.
The following is a GGA-PBE calculation of Tb3CeSi4 after structural relaxation, from the Alexandria database.

a b c (Å): 4.009 6.351 8.632
angles (deg): 111.58 103.43 90.00
Last column: magnetic moment on the atom in μB.
Fractional positions:
Tb 0.000 0.500 0.000  0.01
Tb 0.807 0.807 0.614  0.00
Tb 0.193 0.193 0.386  0.00
Si 0.368 0.552 0.737  0.00
Si 0.368 0.184 0.737  0.00
Si 0.632 0.448 0.263  0.00
Si 0.632 0.816 0.263  0.00
Ce 0.500 0.000 0.000  0.43

Summary:
The value obtained for the uncorrected formation energy is -0.4965 eV/atom.